## Ba4Na2Li (PBE)

Data for a geometry-optimized Ba4Na2Li structure.

Cell: 10.9718 10.9718 10.9718 Å, 34.26 34.26 34.26°
Fractional coordinates of all 7 atoms:
Ba 0.1218 0.1218 0.1218
Ba 0.3734 0.3734 0.3734
Ba 0.6266 0.6266 0.6266
Ba 0.8782 0.8782 0.8782
Na 0.2459 0.2459 0.2459
Na 0.7541 0.7541 0.7541
Li 0.5000 0.5000 0.5000

Properties
- Density: 2.68 g cm⁻³
- Crystal system: trigonal
- E: -1.642 eV per atom
- DOS at the Fermi energy: 10.02 states/eV per cell
- Polymorph energy (0 for the lowest one): 0.085 kcal/mol of atoms